Entry 1:
The following is a DFT calculation (PBE) of a geometry-optimized Li2PmPrS4 structure.

Crystal system = monoclinic
Formation energy (no corrections) = -1.778 eV per atom
VASP energy = -44.1 eV/cell
DOS at the Fermi energy = 0.000 states/eV per atom

Cell lengths 6.641, 4.063, 7.035 Å; angles 90.00, 110.63, 90.00 degrees
Space group P2/m (No. 10)
Unique sites:
Li (0.000, 0.000, 0.000) (multiplicity 1)
Li (0.000, 0.500, 0.500) (multiplicity 1)
Pm (0.500, 0.000, 0.500) (multiplicity 1)
Pr (0.500, 0.500, 0.000) (multiplicity 1)
S (0.243, 0.000, 0.744) (multiplicity 2)
S (0.244, 0.500, 0.252) (multiplicity 2)

Entry 2:
The following is a DFT calculation (PBE) of a geometry-optimized LiPmPr2S5 structure.

Crystal system = orthorhombic
Formation energy (no corrections) = -1.899 eV per atom
VASP energy = -215.8 eV/cell

Cell lengths 4.042, 16.730, 12.060 Å; angles 90.00, 90.00, 90.00 degrees
Space group Cmc2_1 (No. 36)
Unique sites:
Li (0.000, 0.013, 0.000) (multiplicity 4)
Pm (0.000, 0.303, 0.517) (multiplicity 4)
Pr (0.000, 0.378, 0.814) (multiplicity 4)
Pr (0.000, 0.391, 0.201) (multiplicity 4)
S (0.000, 0.002, 0.802) (multiplicity 4)
S (0.000, 0.136, 0.515) (multiplicity 4)
S (0.000, 0.192, 0.856) (multiplicity 4)
S (0.000, 0.211, 0.179) (multiplicity 4)
S (0.000, 0.456, 0.588) (multiplicity 4)

Entry 3:
The following is a DFT calculation (PBE) of a geometry-optimized Li3Pm2PrS6 structure.

Crystal system = monoclinic
Formation energy (no corrections) = -1.785 eV per atom
VASP energy = -132.4 eV/cell
DOS at the Fermi energy = 0.000 states/eV per atom

Cell lengths 7.016, 12.160, 6.634 Å; angles 90.00, 110.56, 90.00 degrees
Space group C2/m (No. 12)
Unique sites:
Li (0.000, 0.000, 0.000) (multiplicity 2)
Li (0.000, 0.330, 0.000) (multiplicity 4)
Pm (0.000, 0.166, 0.500) (multiplicity 4)
Pr (0.000, 0.500, 0.500) (multiplicity 2)
S (0.246, 0.169, 0.244) (multiplicity 8)
S (0.248, 0.000, 0.757) (multiplicity 4)

Entry 4:
The following is a DFT calculation (PBE) of a geometry-optimized LiPm3Pr2S6 structure.

Crystal system = monoclinic
Formation energy (no corrections) = -1.958 eV per atom
VASP energy = -148.0 eV/cell
DOS at the Fermi energy = 0.424 states/eV per atom

Cell lengths 6.974, 12.123, 6.990 Å; angles 90.00, 109.62, 90.00 degrees
Space group C2/m (No. 12)
Unique sites:
Li (0.000, 0.000, 0.000) (multiplicity 2)
Pm (0.000, 0.166, 0.500) (multiplicity 4)
Pm (0.000, 0.500, 0.500) (multiplicity 2)
Pr (0.000, 0.334, 0.000) (multiplicity 4)
S (0.238, 0.000, 0.753) (multiplicity 4)
S (0.244, 0.161, 0.249) (multiplicity 8)

Entry 5:
The following is a DFT calculation (PBE) of a geometry-optimized LiPm2PrS4 structure.

Crystal system = monoclinic
Formation energy (no corrections) = -1.917 eV per atom
VASP energy = -48.0 eV/cell
DOS at the Fermi energy = 0.334 states/eV per atom

Cell lengths 6.959, 4.023, 6.963 Å; angles 90.00, 109.42, 90.00 degrees
Space group P2/m (No. 10)
Unique sites:
Li (0.000, 0.000, 0.000) (multiplicity 1)
Pm (0.000, 0.500, 0.500) (multiplicity 1)
Pm (0.500, 0.000, 0.500) (multiplicity 1)
Pr (0.500, 0.500, 0.000) (multiplicity 1)
S (0.241, 0.000, 0.751) (multiplicity 2)
S (0.243, 0.500, 0.247) (multiplicity 2)

Entry 6:
The following is a DFT calculation (PBE) of a geometry-optimized LiPm2PrSe5 structure.

Crystal system = orthorhombic
Formation energy (no corrections) = -1.716 eV per atom
VASP energy = -196.2 eV/cell

Cell lengths 4.175, 17.456, 12.588 Å; angles 90.00, 90.00, 90.00 degrees
Space group Cmc2_1 (No. 36)
Unique sites:
Li (0.000, 0.012, 0.000) (multiplicity 4)
Pm (0.000, 0.378, 0.812) (multiplicity 4)
Pm (0.000, 0.391, 0.200) (multiplicity 4)
Pr (0.000, 0.305, 0.515) (multiplicity 4)
Se (0.000, 0.002, 0.802) (multiplicity 4)
Se (0.000, 0.136, 0.515) (multiplicity 4)
Se (0.000, 0.191, 0.849) (multiplicity 4)
Se (0.000, 0.211, 0.182) (multiplicity 4)
Se (0.000, 0.457, 0.592) (multiplicity 4)

Entry 7:
The following is a DFT calculation (PBE) of a geometry-optimized LiPm3Pr4Se8 structure.

Crystal system = trigonal
Formation energy (no corrections) = -1.802 eV per atom
VASP energy = -276.0 eV/cell
DOS at the Fermi energy = 0.521 states/eV per atom

Cell lengths 8.4170, 8.4170, 20.6712 Å; angles 90.00, 90.00, 120.00 degrees
Space group R-3m (No. 166, hexagonal axes)
Unique sites:
Li (0.0000, 0.0000, 0.0000) (multiplicity 3)
Pm (0.0000, 0.5000, 0.0000) (multiplicity 9)
Pr (0.0000, 0.0000, 0.5000) (multiplicity 3)
Pr (0.0000, 0.5000, 0.5000) (multiplicity 9)
Se (0.0000, 0.0000, 0.2519) (multiplicity 6)
Se (0.0087, 0.5044, 0.7459) (multiplicity 18)

Entry 8:
The following is a DFT calculation (PBE) of a geometry-optimized Li3Pm2PrSe6 structure.

Crystal system = monoclinic
Formation energy (no corrections) = -1.666 eV per atom
VASP energy = -121.8 eV/cell

Cell lengths 7.272, 12.599, 6.961 Å; angles 90.00, 110.32, 90.00 degrees
Space group C2/m (No. 12)
Unique sites:
Li (0.000, 0.000, 0.000) (multiplicity 2)
Li (0.000, 0.332, 0.000) (multiplicity 4)
Pm (0.000, 0.167, 0.500) (multiplicity 4)
Pr (0.000, 0.500, 0.500) (multiplicity 2)
Se (0.246, 0.168, 0.241) (multiplicity 8)
Se (0.249, 0.000, 0.760) (multiplicity 4)

Q: Which value of VASP energy does entry 4 give?
A: -148.0 eV/cell

Q: Among the records above, which one has the highest VASP energy?
A: Li2PmPrS4